VASP calculation (GGA-PBE) on Mg4TcAs after structural relaxation.

Computed properties:
Energy of formation from the pure elements   10.3 kcal/mol of atoms
Space-group type   No. 216
Magnetization   0.0 μB/f.u.
E   -3.12 eV per atom

Unit cell a=5.424 b=5.424 c=5.424 alpha=60.00 beta=60.00 gamma=60.00
Positions (direct):
Mg1 0.124 0.124 0.124
Mg2 0.124 0.124 0.628
Mg3 0.124 0.628 0.124
Mg4 0.628 0.124 0.124
Tc1 0.750 0.750 0.750
As1 0.500 0.500 0.500